# SbSeBr2

An optimized crystal structure of SbSeBr2 (PBE, the Alexandria database).

total magnetization: 0.0 μB per formula unit
D(E_F): 9.921 states/eV per cell
uncorrected energy: -2.317 eV/atom
symmetry: Cmmm
excess energy over the best structure of this formula in the dataset: 0.670 eV/atom
E_form (uncorrected): 0.421 eV per atom
crystal system: orthorhombic

Cell: 6.5776 9.0541 3.3609 Å, 90.00 90.00 90.00°
Element x y z (fractional)
Sb (0.0000, 0.0000, 0.0000)
Sb (0.5000, 0.5000, 0.0000)
Se (0.0000, 0.5000, 0.0000)
Se (0.5000, 0.0000, 0.0000)
Br (0.2500, 0.2500, 0.5000)
Br (0.2500, 0.7500, 0.5000)
Br (0.7500, 0.2500, 0.5000)
Br (0.7500, 0.7500, 0.5000)